# 1
Material: Sb3Te
Method: DFT, PBEsol
State: optimized geometry

Cell lengths 7.590, 7.590, 7.590 Å; angles 33.36, 33.36, 33.36 degrees
Atoms (fractional coordinates):
Sb 0.000 0.000 0.000
Sb 0.253 0.253 0.253
Sb 0.747 0.747 0.747
Te 0.500 0.500 0.500

Output
Energy above the lowest structure with this stoichiometry = 0.0 meV/atom

***

# 2
Material: Sb3Te
Method: DFT, PBEsol
State: optimized geometry

Cell lengths 4.376, 6.161, 4.377 Å; angles 90.00, 90.00, 90.00 degrees
Atoms (fractional coordinates):
Sb 0.000 0.000 0.000
Sb 0.000 0.500 0.001
Sb 0.500 0.000 0.499
Te 0.500 0.500 0.501

Output
Energy above the lowest structure with this stoichiometry = 7.5 meV/atom

***

# 3
Material: Sb16Te3
Method: DFT, PBEsol
State: optimized geometry

Cell lengths 35.551, 35.551, 35.551 Å; angles 6.97, 6.97, 6.97 degrees
Atoms (fractional coordinates):
Sb 0.027 0.027 0.027
Sb 0.077 0.077 0.077
Sb 0.185 0.185 0.185
Sb 0.236 0.236 0.236
Sb 0.291 0.291 0.291
Sb 0.341 0.341 0.341
Sb 0.396 0.396 0.396
Sb 0.445 0.445 0.445
Sb 0.555 0.555 0.555
Sb 0.604 0.604 0.604
Sb 0.659 0.659 0.659
Sb 0.709 0.709 0.709
Sb 0.764 0.764 0.764
Sb 0.815 0.815 0.815
Sb 0.923 0.923 0.923
Sb 0.973 0.973 0.973
Te 0.133 0.133 0.133
Te 0.500 0.500 0.500
Te 0.867 0.867 0.867

Output
Final energy = -0.32527 Ry per atom

***

Question: Number 3 is which compound?
Answer: Sb16Te3

***

What did the first record say?
Material: Sb3Te
Method: DFT, PBEsol
State: optimized geometry

Cell lengths 7.590, 7.590, 7.590 Å; angles 33.36, 33.36, 33.36 degrees
Atoms (fractional coordinates):
Sb 0.000 0.000 0.000
Sb 0.253 0.253 0.253
Sb 0.747 0.747 0.747
Te 0.500 0.500 0.500

Output
Energy above the lowest structure with this stoichiometry = 0.0 meV/atom